# ScBPd

ScBPd after structural relaxation (PBE-GGA, the Alexandria database).

Unit cell a=3.1796 b=3.5328 c=7.5088 alpha=76.39 beta=90.00 gamma=90.00
Last column: nearest neighbours and their distance in Å.
Fractional positions:
Sc: 0.2500 0.0987 0.8026  6 B 2.53-2.60, 4 Pd 2.75
Sc: 0.7500 0.9013 0.1974  6 B 2.53-2.60, 4 Pd 2.75
B: 0.2500 0.4742 0.0516  2 B 1.76
B: 0.7500 0.5258 0.9484  2 B 1.76
Pd: 0.7500 0.6939 0.6121  1 B 2.45
Pd: 0.2500 0.3061 0.3879  1 B 2.45

Symmetry: Cmcm (63)
VASP energy (eV/atom): -6.7973

# ScBPd3

ScBPd3 after structural relaxation (PBE-GGA, the Alexandria database).

Unit cell a=4.2319 b=4.2319 c=4.2319 alpha=90.00 beta=90.00 gamma=90.00
Last column: nearest neighbours and their distance in Å.
Fractional positions:
Sc: 0.5000 0.5000 0.5000  12 Pd 2.99
B: 0.0000 0.0000 0.0000  6 Pd 2.12
Pd: 0.0000 0.5000 0.0000  2 B 2.12
Pd: 0.0000 0.0000 0.5000  2 B 2.12
Pd: 0.5000 0.0000 0.0000  2 B 2.12

Symmetry: Pm-3m (221)
VASP energy (eV/atom): -6.2540

# ScBPd5

ScBPd5 after structural relaxation (PBE-GGA, the Alexandria database).

Unit cell a=3.8628 b=3.8627 c=6.8851 alpha=90.00 beta=90.00 gamma=90.00
Last column: nearest neighbours and their distance in Å.
Fractional positions:
Sc: 0.0000 0.0000 0.5000  12 Pd 2.73-2.86
B: 0.5000 0.5000 0.0000  8 Pd 2.35
Pd: 0.0000 0.5000 0.8066  2 B 2.35
Pd: 0.0000 0.5000 0.1934  2 B 2.35
Pd: 0.5000 0.0000 0.8066  2 B 2.35
Pd: 0.5000 0.0000 0.1934  2 B 2.35
Pd: 0.5000 0.5000 0.5000  4 Sc 2.73, 8 Pd 2.86

Symmetry: P4/mmm (123)
VASP energy (eV/atom): -6.0955

# ScBPd3

ScBPd3 after structural relaxation (PBE-GGA, the Alexandria database).

Unit cell a=4.7660 b=4.7660 c=4.7660 alpha=90.00 beta=90.00 gamma=90.00
Last column: nearest neighbours and their distance in Å.
Fractional positions:
Sc: 0.0000 0.0000 0.0000  6 Pd 2.38
B: 0.5000 0.5000 0.5000  12 Pd 3.37
Pd: 0.0000 0.5000 0.0000  2 Sc 2.38
Pd: 0.0000 0.0000 0.5000  2 Sc 2.38
Pd: 0.5000 0.0000 0.0000  2 Sc 2.38

Symmetry: Pm-3m (221)
VASP energy (eV/atom): -4.4149

# ScB2Pd

ScB2Pd after structural relaxation (PBE-GGA, the Alexandria database).

Unit cell a=4.0464 b=4.0464 c=4.0464 alpha=60.00 beta=60.00 gamma=60.00
Last column: nearest neighbours and their distance in Å.
Fractional positions:
Sc: 0.0000 0.0000 0.0000  8 B 2.48
B: 0.2500 0.2500 0.2500  4 Pd 2.48, 4 Sc 2.48
B: 0.7500 0.7500 0.7500  4 Sc 2.48, 4 Pd 2.48
Pd: 0.5000 0.5000 0.5000  8 B 2.48

Symmetry: Fm-3m (225)
VASP energy (eV/atom): -6.0686

# ScB2Pd

ScB2Pd after structural relaxation (PBE-GGA, the Alexandria database).

Unit cell a=3.7888 b=3.7888 c=8.0025 alpha=76.31 beta=76.31 gamma=90.00
Last column: nearest neighbours and their distance in Å.
Fractional positions:
Sc: 0.5000 0.5000 0.0000  4 Pd 2.68, 8 B 2.84
Sc: 0.2500 0.7500 0.5000  4 Pd 2.68, 8 B 2.84
B: 0.8751 0.1250 0.2500  2 B 1.89, 2 Pd 2.11
B: 0.8749 0.6250 0.2500  2 B 1.89, 2 Pd 2.11
B: 0.3750 0.1249 0.7500  2 B 1.89, 2 Pd 2.11
B: 0.8750 0.1251 0.7500  2 B 1.89, 2 Pd 2.11
Pd: 0.0000 0.0000 0.0000  4 B 2.11
Pd: 0.7500 0.2500 0.5000  4 B 2.11

Symmetry: I4_1/amd (141)
VASP energy (eV/atom): -6.3129